(1)
## RbYMgB2 (meta-GGA SCAN)

Data for a crystal of RbYMgB2 relaxed with PBEsol.

POSCAR file:
```
RbYMgB2
1.0
4.547 0.000 0.000
0.000 4.547 0.000
0.000 0.000 4.903
Rb Y Mg B
1 1 1 2
Direct
0.000 0.000 0.000 Rb
0.500 0.500 0.000 Y
0.000 0.000 0.500 Mg
0.000 0.500 0.500 B
0.500 0.000 0.500 B
```

- E: -60.9 eV for the cell shown

(2)
## Mg2ScReB (meta-GGA SCAN)

Data for a crystal of Mg2ScReB relaxed with PBEsol.

POSCAR file:
```
Mg2ScReB
1.0
5.032 0.000 0.000
0.000 5.032 0.000
0.000 0.000 4.738
Mg Sc Re B
2 1 1 1
Direct
0.000 0.500 0.000 Mg
0.500 0.000 0.000 Mg
0.000 0.000 0.500 Sc
0.000 0.000 0.000 Re
0.500 0.500 0.500 B
```

- E: -95.3 eV for the cell shown

(3)
## MgBRh3 (meta-GGA SCAN)

Data for a crystal of MgBRh3 relaxed with PBEsol.

POSCAR file:
```
MgBRh3
1.0
4.054 0.000 0.000
0.000 4.054 0.000
0.000 0.000 4.054
Mg B Rh
1 1 3
Direct
0.000 0.000 0.000 Mg
0.500 0.500 0.500 B
0.000 0.500 0.500 Rh
0.500 0.000 0.500 Rh
0.500 0.500 0.000 Rh
```

- E: -116.1 eV for the cell shown

(4)
## Mg3B2Rh5 (meta-GGA SCAN)

Data for a crystal of Mg3B2Rh5 relaxed with PBEsol.

POSCAR file:
```
Mg3B2Rh5
1.0
9.406 0.000 0.000
0.000 9.406 0.000
0.000 0.000 2.912
Mg B Rh
6 4 10
Direct
0.000 0.000 0.000 Mg
0.177 0.323 0.000 Mg
0.323 0.823 0.000 Mg
0.500 0.500 0.000 Mg
0.677 0.177 0.000 Mg
0.823 0.677 0.000 Mg
0.126 0.626 0.000 B
0.374 0.126 0.000 B
0.626 0.874 0.000 B
0.874 0.374 0.000 B
0.000 0.500 0.500 Rh
0.070 0.780 0.500 Rh
0.220 0.070 0.500 Rh
0.280 0.570 0.500 Rh
0.430 0.280 0.500 Rh
0.500 0.000 0.500 Rh
0.570 0.720 0.500 Rh
0.720 0.430 0.500 Rh
0.780 0.930 0.500 Rh
0.930 0.220 0.500 Rh
```

- E: -410.6 eV for the cell shown

Number 1: formation energy 1.51 eV per atom. Number 2: formation energy 1.48 eV per atom. Number 3: formation energy -0.47 eV per atom. Number 4: formation energy -0.67 eV per atom.